Na2TlZn, optimized geometry, DFT PBE; formation energy from the elements = 33 meV/atom; E = -6.1 eV per cell; V = 103 Å³/f.u.
1.0
0.000 3.720 3.720
3.720 0.000 3.720
3.720 3.720 0.000
Na Tl Zn
2 1 1
direct
0.250 0.250 0.250
0.750 0.750 0.750
0.500 0.500 0.500
0.000 0.000 0.000